# GGA+U VSi2F, optimized geometry
# **Offset from the most stable computed form**: 53.2 kJ per mole of atoms
data_VSi2F
_chemical_formula_sum 'V4 Si8 F4'
_space_group_name_H-M_alt 'F m -3 m'
_space_group_IT_number 225
_space_group_name_Hall '-F 4 2 3'
_cell_length_a 6.135
_cell_length_b 6.135
_cell_length_c 6.135
_cell_angle_alpha 90.00
_cell_angle_beta 90.00
_cell_angle_gamma 90.00
loop_
_atom_site_label
_atom_site_type_symbol
_atom_site_fract_x
_atom_site_fract_y
_atom_site_fract_z
V1 V 0.000 0.000 0.000
Si1 Si 0.250 0.250 0.250
F1 F 0.000 0.000 0.500